1.
# MgPAu2, optimized geometry, DFT GGA-PBE
# Energy above the most stable polymorph in this dataset ... 48.4 meV/atom
# Energy relative to the elements ... -0.1118 eV per atom
# Electronic total energy ... -0.25736 Ry per atom
data_MgPAu2
_cell_length_a 5.048
_cell_length_b 5.048
_cell_length_c 3.900
_cell_angle_alpha 108.98
_cell_angle_beta 108.98
_cell_angle_gamma 49.01
_space_group_name_H-M_alt 'P 1'
_space_group_IT_number 1
_space_group_name_Hall 'P 1'
loop_
_atom_site_label
_atom_site_fract_x
_atom_site_fract_y
_atom_site_fract_z
Mg1 0.000 0.000 0.000
P1 0.745 0.745 0.256
Au1 0.268 0.268 0.773
Au2 0.523 0.523 0.517



2.
# InAsBr2O, optimized geometry, DFT GGA-PBE
# Formation energy without anion corrections ... -34 kJ/mol of formula units
# Energy above the most stable polymorph in this dataset ... 0.0 meV/atom
# Electronic total energy ... -0.23589 Ry per atom
data_InAsBr2O
_cell_length_a 6.230
_cell_length_b 6.230
_cell_length_c 3.673
_cell_angle_alpha 90.00
_cell_angle_beta 90.00
_cell_angle_gamma 90.00
_space_group_name_H-M_alt 'P 1'
_space_group_IT_number 1
_space_group_name_Hall 'P 1'
loop_
_atom_site_label
_atom_site_fract_x
_atom_site_fract_y
_atom_site_fract_z
In1 0.000 0.000 0.000
As1 0.500 0.500 0.000
Br1 0.000 0.500 0.500
Br2 0.500 0.000 0.500
O1 0.500 0.500 0.500



3.
# Zn2GaC, optimized geometry, DFT GGA-PBE
# Energy relative to the elements ... 0.7219 eV per atom
# Electronic total energy ... -0.21886 Ry per atom
data_Zn2GaC
_cell_length_a 6.205
_cell_length_b 6.205
_cell_length_c 6.205
_cell_angle_alpha 124.85
_cell_angle_beta 124.85
_cell_angle_gamma 81.79
_space_group_name_H-M_alt 'P 1'
_space_group_IT_number 1
_space_group_name_Hall 'P 1'
loop_
_atom_site_label
_atom_site_fract_x
_atom_site_fract_y
_atom_site_fract_z
Zn1 0.375 0.212 0.337
Zn2 0.788 0.125 0.163
Zn3 0.875 0.038 0.663
Zn4 0.962 0.625 0.837
Ga1 0.250 0.750 0.500
Ga2 0.500 0.500 0.000
C1 0.000 0.000 0.000
C2 0.750 0.250 0.500



> electronic total energy of number 3 (Zn2GaC)?

-0.21886 Ry per atom



> Among the records above, which one has the highest electronic total energy?

Zn2GaC



> Which of these has the lowest electronic total energy?

MgPAu2